1.
Compound: BaReTc
Source: the Alexandria database
Functional: PBE
Structure: relaxed

For the energy of formation from the pure elements, the calculation gives 1528 meV/atom. As for the relative energy among the computed polymorphs: 0.877 eV per atom. The space-group type is F-43m. As for the energy: -6.7177 eV/atom.

Cell lengths 4.6485, 4.6485, 4.6485 Å; angles 60.00, 60.00, 60.00 degrees
Fractional coordinates of all 3 atoms:
Ba 0.5000 0.5000 0.5000
Tc 0.0000 0.0000 0.0000
Re 0.7500 0.7500 0.7500

=====

2.
Compound: Ba4ReTc
Source: the Alexandria database
Functional: PBE
Structure: relaxed

For the energy of formation from the pure elements, the calculation gives 1851 meV/atom. The space-group type is F-43m. As for the energy: -3.2336 eV/atom.

Cell lengths 6.7776, 6.7776, 6.7776 Å; angles 60.00, 60.00, 60.00 degrees
Site moments in Bohr magnetons follow the coordinates.
Fractional coordinates of all 6 atoms:
Ba 0.3752 0.8743 0.3752  -0.15
Ba 0.8743 0.3752 0.3752  -0.15
Ba 0.3752 0.3752 0.8743  -0.15
Ba 0.3752 0.3752 0.3752  -0.15
Tc 0.0000 0.0000 0.0000  2.87
Re 0.7500 0.7500 0.7500  2.66

=====

3.
Compound: BaReTc2
Source: the Alexandria database
Functional: PBE
Structure: relaxed

For the energy of formation from the pure elements, the calculation gives 784 meV/atom. As for the relative energy among the computed polymorphs: 0.115 eV per atom. The space-group type is Cm. As for the energy: -7.9918 eV/atom.

Cell lengths 4.9646, 4.9646, 6.3955 Å; angles 76.77, 76.77, 36.97 degrees
Fractional coordinates of all 4 atoms:
Re 0.2863 0.2863 0.1241
Tc 0.7152 0.7152 0.8664
Tc 0.9983 0.9983 0.0067
Ba 0.5002 0.5002 0.5028

=====

4.
Compound: BaReTc2
Source: the Alexandria database
Functional: PBE
Structure: relaxed

For the energy of formation from the pure elements, the calculation gives 1507 meV/atom. As for the relative energy among the computed polymorphs: 0.838 eV per atom. The space-group type is Pmmm. As for the energy: -7.2690 eV/atom.

Cell lengths 3.1936, 5.2701, 4.5031 Å; angles 90.00, 90.00, 90.00 degrees
Fractional coordinates of all 4 atoms:
Re 0.0000 0.5000 0.5000
Ba 0.5000 0.0000 0.5000
Tc 0.5000 0.5000 0.0000
Tc 0.0000 0.0000 0.0000

=====

5.
Compound: BaReTc2
Source: the Alexandria database
Functional: PBE
Structure: relaxed

For the energy of formation from the pure elements, the calculation gives 1320 meV/atom. As for the relative energy among the computed polymorphs: 0.651 eV per atom. The space-group type is F-43m. As for the energy: -7.4558 eV/atom.

Cell lengths 4.7098, 4.7098, 4.7098 Å; angles 60.00, 60.00, 60.00 degrees
Fractional coordinates of all 4 atoms:
Tc 0.0000 0.0000 0.0000
Tc 0.7500 0.7500 0.7500
Ba 0.5000 0.5000 0.5000
Re 0.2500 0.2500 0.2500

=====

6.
Compound: BaReTc2
Source: the Alexandria database
Functional: PBE
Structure: relaxed

For the energy of formation from the pure elements, the calculation gives 733 meV/atom. As for the relative energy among the computed polymorphs: 0.064 eV per atom. The space-group type is C2/m. As for the energy: -8.0430 eV/atom.

Cell lengths 4.8263, 4.8263, 6.4723 Å; angles 78.01, 78.01, 37.58 degrees
Fractional coordinates of all 4 atoms:
Ba 0.7500 0.7500 0.7500
Re 0.2500 0.2500 0.2500
Tc 0.5349 0.5349 0.3904
Tc 0.9651 0.9651 0.1096